Computed, not measured: Zr3Tl3PdSe8 after structural relaxation at the PBE-GGA level of DFT.

Cell lengths 13.398, 7.737, 9.103 Å; angles 90.00, 119.37, 90.00 degrees
Space group C2/m (No. 12)
One atom of each set of equivalent atoms:
Zr (0.000, 0.000, 0.000)
Zr (0.250, 0.250, 0.000)
Tl (0.000, 0.500, 0.500)
Tl (0.250, 0.250, 0.500)
Pd (0.000, 0.500, 0.000)
Se (0.019, 0.250, 0.807)
Se (0.230, 0.500, 0.193)
Se (0.234, 0.000, 0.202)

Results
Total moment in Bohr magnetons per cell: 0.00
N(E_F) in states/eV/f.u.: 8.163
V in Å³/cell: 822
Raw total energy in eV for the cell shown: -157.849
Theoretical density in g/cm³: 6.6